# 1
Compound: DyTm4Sb2
Source: the Alexandria database
Functional: GGA-PBE
Structure: relaxed

Lattice parameters (Å, degrees): 5.2125 5.2125 8.9189 106.99 106.99 90.00
Atoms (fractional coordinates):
Dy  0.0000  0.0000  0.0000
Sb  0.3669  0.3669  0.7337
Tm  0.0000  0.5000  0.0000
Sb  0.6331  0.6331  0.2663
Tm  0.1835  0.1835  0.3669
Tm  0.8165  0.8165  0.6331
Tm  0.5000  0.0000  0.0000

ΔE_f (raw)	0.32	eV per atom
total energy	-4.07	eV per atom
DOS at the Fermi energy	5.31	states/eV per cell
space group	I4/mmm, No. 139


# 2
Compound: Dy5TmSb4
Source: the Alexandria database
Functional: GGA-PBE
Structure: relaxed

Lattice parameters (Å, degrees): 4.2867 8.3781 9.5279 105.16 103.00 90.00
Atoms (fractional coordinates):
Dy  0.8362  0.1793  0.6725
Dy  0.1638  0.8207  0.3275
Sb  0.3317  0.9150  0.6634
Dy  0.8220  0.6496  0.6439
Tm  0.5000  0.0000  0.0000
Sb  0.6683  0.0850  0.3366
Sb  0.9924  0.7448  0.9847
Sb  0.0076  0.2552  0.0153
Dy  0.1780  0.3504  0.3561
Dy  0.5000  0.5000  0.0000

ΔE_f (raw)	-0.72	eV per atom
total energy	-5.11	eV per atom
DOS at the Fermi energy	5.38	states/eV per cell
space group	C2/m, No. 12


# 3
Compound: Dy2TmSb
Source: the Alexandria database
Functional: GGA-PBE
Structure: relaxed

Lattice parameters (Å, degrees): 4.0852 6.4257 9.5081 90.00 90.00 108.54
Atoms (fractional coordinates):
Sb  0.2424  0.4846  0.2500
Dy  0.6357  0.2712  0.4531
Dy  0.3643  0.7288  0.5469
Tm  0.0601  0.1204  0.7500
Dy  0.3643  0.7288  0.9531
Tm  0.9399  0.8796  0.2500
Dy  0.6357  0.2712  0.0469
Sb  0.7576  0.5154  0.7500

ΔE_f (raw)	-0.54	eV per atom
total energy	-4.99	eV per atom
DOS at the Fermi energy	11.52	states/eV per cell
distance to the lowest polymorph of the same formula	0.0	meV/atom
space group	Cmcm, No. 63


# 4
Compound: Dy3TmSb2
Source: the Alexandria database
Functional: GGA-PBE
Structure: relaxed

Lattice parameters (Å, degrees): 4.2943 10.4095 9.7337 125.35 90.00 101.90
Each line ends with the local moment (μB).
Atoms (fractional coordinates):
Sb  0.7485  0.4971  0.2212  0.00
Sb  0.4930  0.9861  0.8310  0.00
Dy  0.0553  0.1106  0.4342  0.08
Tm  0.8908  0.7817  0.8931  0.00
Sb  0.2515  0.5029  0.7788  0.00
Sb  0.5070  0.0139  0.1690  0.00
Dy  0.3118  0.6235  0.5170  0.17
Dy  0.6882  0.3765  0.4830  0.17
Dy  0.3545  0.7091  0.1861  0.01
Dy  0.9447  0.8894  0.5658  0.08
Tm  0.1092  0.2183  0.1069  0.00
Dy  0.6455  0.2909  0.8139  0.01

ΔE_f (raw)	-0.66	eV per atom
total energy	-5.08	eV per atom
DOS at the Fermi energy	13.27	states/eV per cell
distance to the lowest polymorph of the same formula	138.7	meV/atom
space group	C2/m, No. 12


# 5
Compound: Dy2TmSb
Source: the Alexandria database
Functional: GGA-PBE
Structure: relaxed

Lattice parameters (Å, degrees): 4.1274 4.1274 6.6366 90.00 90.00 90.00
Atoms (fractional coordinates):
Tm  0.5000  0.5000  0.5000
Dy  0.0000  0.0000  0.2363
Dy  0.0000  0.0000  0.7637
Sb  0.5000  0.5000  0.0000

ΔE_f (raw)	-0.49	eV per atom
total energy	-4.94	eV per atom
DOS at the Fermi energy	3.74	states/eV per cell
distance to the lowest polymorph of the same formula	52.5	meV/atom
space group	P4/mmm, No. 123


# 6
Compound: Dy5Tm2Sb4
Source: the Alexandria database
Functional: GGA-PBE
Structure: relaxed

Lattice parameters (Å, degrees): 3.6184 7.2690 15.0720 120.46 96.89 90.00
Atoms (fractional coordinates):
Dy  0.1410  0.4471  0.2819
Dy  0.5000  0.0000  0.0000
Sb  0.6744  0.8529  0.3488
Tm  0.2365  0.2596  0.4731
Sb  0.9678  0.6147  0.9355
Dy  0.8590  0.5529  0.7181
Sb  0.3256  0.1471  0.6512
Tm  0.7635  0.7404  0.5269
Sb  0.0322  0.3853  0.0645
Dy  0.9090  0.1207  0.8179
Dy  0.0911  0.8793  0.1821

ΔE_f (raw)	-0.43	eV per atom
total energy	-4.83	eV per atom
DOS at the Fermi energy	11.78	states/eV per cell
space group	C2/m, No. 12


Copy entry 2 word for word.
Compound: Dy5TmSb4
Source: the Alexandria database
Functional: GGA-PBE
Structure: relaxed

Lattice parameters (Å, degrees): 4.2867 8.3781 9.5279 105.16 103.00 90.00
Atoms (fractional coordinates):
Dy  0.8362  0.1793  0.6725
Dy  0.1638  0.8207  0.3275
Sb  0.3317  0.9150  0.6634
Dy  0.8220  0.6496  0.6439
Tm  0.5000  0.0000  0.0000
Sb  0.6683  0.0850  0.3366
Sb  0.9924  0.7448  0.9847
Sb  0.0076  0.2552  0.0153
Dy  0.1780  0.3504  0.3561
Dy  0.5000  0.5000  0.0000

ΔE_f (raw)	-0.72	eV per atom
total energy	-5.11	eV per atom
DOS at the Fermi energy	5.38	states/eV per cell
space group	C2/m, No. 12